Record 1
Below is a crystal of NbCrN relaxed with PBEsol, with properties calculated at the meta-GGA SCAN level. Values from VASP.

Quantum ESPRESSO input file:
```
&SYSTEM
  ibrav = 0, nat = 6, ntyp = 3
/
ATOMIC_SPECIES
Nb 92.91 Nb.upf
N 14.01 N.upf
Cr 52.00 Cr.upf
CELL_PARAMETERS angstrom
-0.168 1.352 2.690
-2.961 0.411 -0.392
-1.312 -6.443 3.158
ATOMIC_POSITIONS crystal
Nb 0.500 0.000 0.176
N 0.500 0.000 0.860
N 0.000 0.500 0.140
Cr 0.500 0.000 0.585
Cr 0.000 0.500 0.415
Nb 0.000 0.500 0.824
```

## Properties
E_form (uncorrected), eV/atom: -0.807
ρ, g/cm³: 8.0



Record 2
Below is a crystal of NbCrTe2N relaxed with PBEsol, with properties calculated at the meta-GGA SCAN level. Values from VASP.

Quantum ESPRESSO input file:
```
&SYSTEM
  ibrav = 0, nat = 5, ntyp = 4
/
ATOMIC_SPECIES
Te 127.60 Te.upf
Cr 52.00 Cr.upf
Nb 92.91 Nb.upf
N 14.01 N.upf
CELL_PARAMETERS angstrom
3.860 0.000 0.000
0.000 5.491 0.000
0.000 0.000 5.491
ATOMIC_POSITIONS crystal
Te 0.000 0.000 0.500
Te 0.000 0.500 0.000
Cr 0.500 0.500 0.500
Nb 0.000 0.000 0.000
N 0.500 0.000 0.000
```

## Properties
E_form (uncorrected), eV/atom: 0.182
ρ, g/cm³: 5.9



Record 3
Below is a crystal of CrNiN2 relaxed with PBEsol, with properties calculated at the meta-GGA SCAN level. Values from VASP.

Quantum ESPRESSO input file:
```
&SYSTEM
  ibrav = 0, nat = 8, ntyp = 3
/
ATOMIC_SPECIES
Ni 58.69 Ni.upf
N 14.01 N.upf
Cr 52.00 Cr.upf
CELL_PARAMETERS angstrom
4.276 0.000 0.000
0.000 4.276 0.000
-2.138 -2.138 4.284
ATOMIC_POSITIONS crystal
Ni 0.000 0.000 0.000
N 0.854 0.375 0.250
N 0.396 0.875 0.250
Cr 0.500 0.500 0.000
Ni 0.250 0.750 0.500
N 0.125 0.146 0.750
N 0.625 0.604 0.750
Cr 0.750 0.250 0.500
```

## Properties
E_form (uncorrected), eV/atom: -0.386
ρ, g/cm³: 5.9



Record 4
Below is a crystal of CrNi2RhN relaxed with PBEsol, with properties calculated at the meta-GGA SCAN level. Values from VASP.

Quantum ESPRESSO input file:
```
&SYSTEM
  ibrav = 0, nat = 5, ntyp = 4
/
ATOMIC_SPECIES
Ni 58.69 Ni.upf
Rh 102.91 Rh.upf
N 14.01 N.upf
Cr 52.00 Cr.upf
CELL_PARAMETERS angstrom
-2.457 2.434 -0.065
-2.932 -2.980 -0.817
-0.631 -0.526 4.180
ATOMIC_POSITIONS crystal
Ni 0.000 0.500 0.000
Ni 0.000 0.000 0.500
Rh 0.500 0.500 0.500
N 0.500 0.000 0.000
Cr 0.000 0.000 0.000
```

## Properties
E_form (uncorrected), eV/atom: 1.032
ρ, g/cm³: 7.6



Record 5
Below is a crystal of CrNiSe2N relaxed with PBEsol, with properties calculated at the meta-GGA SCAN level. Values from VASP.

Quantum ESPRESSO input file:
```
&SYSTEM
  ibrav = 0, nat = 5, ntyp = 4
/
ATOMIC_SPECIES
Se 78.96 Se.upf
Ni 58.69 Ni.upf
Cr 52.00 Cr.upf
N 14.01 N.upf
CELL_PARAMETERS angstrom
3.366 0.000 0.000
0.000 4.848 0.000
0.000 0.000 4.848
ATOMIC_POSITIONS crystal
Se 0.000 0.000 0.500
Ni 0.000 0.000 0.000
Se 0.000 0.500 0.000
Cr 0.500 0.500 0.500
N 0.500 0.000 0.000
```

## Properties
E_form (uncorrected), eV/atom: 0.347
ρ, g/cm³: 5.9



Record 6
Below is a crystal of CrNiSe2N relaxed with PBEsol, with properties calculated at the meta-GGA SCAN level. Values from VASP.

Quantum ESPRESSO input file:
```
&SYSTEM
  ibrav = 0, nat = 5, ntyp = 4
/
ATOMIC_SPECIES
Se 78.96 Se.upf
N 14.01 N.upf
Ni 58.69 Ni.upf
Cr 52.00 Cr.upf
CELL_PARAMETERS angstrom
3.421 0.000 0.000
0.000 4.761 0.000
0.000 0.000 4.761
ATOMIC_POSITIONS crystal
Se 0.000 0.500 0.000
Se 0.000 0.000 0.500
N 0.500 0.000 0.000
Ni 0.500 0.500 0.500
Cr 0.000 0.000 0.000
```

## Properties
E_form (uncorrected), eV/atom: 0.383
ρ, g/cm³: 6.1



Record 7
Below is a crystal of CrPN2O relaxed with PBEsol, with properties calculated at the meta-GGA SCAN level. Values from VASP.

Quantum ESPRESSO input file:
```
&SYSTEM
  ibrav = 0, nat = 5, ntyp = 4
/
ATOMIC_SPECIES
O 16.00 O.upf
Cr 52.00 Cr.upf
N 14.01 N.upf
P 30.97 P.upf
CELL_PARAMETERS angstrom
-2.656 1.225 -1.831
-2.115 0.127 3.152
1.186 3.549 0.653
ATOMIC_POSITIONS crystal
O 0.500 0.000 0.000
Cr 0.000 0.000 0.000
N 0.000 0.000 0.500
P 0.500 0.500 0.500
N 0.000 0.500 0.000
```

## Properties
E_form (uncorrected), eV/atom: 0.575
ρ, g/cm³: 4.2



Record 8
Below is a crystal of CrPbN2O relaxed with PBEsol, with properties calculated at the meta-GGA SCAN level. Values from VASP.

Quantum ESPRESSO input file:
```
&SYSTEM
  ibrav = 0, nat = 5, ntyp = 4
/
ATOMIC_SPECIES
O 16.00 O.upf
Pb 207.20 Pb.upf
Cr 52.00 Cr.upf
N 14.01 N.upf
CELL_PARAMETERS angstrom
3.739 0.000 0.000
0.000 3.739 0.000
0.000 0.000 3.965
ATOMIC_POSITIONS crystal
O 0.000 0.000 0.500
Pb 0.500 0.500 0.500
Cr 0.000 0.000 0.000
N 0.500 0.000 0.000
N 0.000 0.500 0.000
```

## Properties
E_form (uncorrected), eV/atom: -0.141
ρ, g/cm³: 9.1



Record 9
Below is a crystal of RbCrN2O relaxed with PBEsol, with properties calculated at the meta-GGA SCAN level. Values from VASP.

Quantum ESPRESSO input file:
```
&SYSTEM
  ibrav = 0, nat = 5, ntyp = 4
/
ATOMIC_SPECIES
Cr 52.00 Cr.upf
O 16.00 O.upf
N 14.01 N.upf
Rb 85.47 Rb.upf
CELL_PARAMETERS angstrom
-2.840 1.931 -1.595
1.356 -0.841 -3.433
-2.206 -3.298 -0.064
ATOMIC_POSITIONS crystal
Cr 0.000 0.000 0.000
O 0.000 0.000 0.500
N 0.000 0.500 0.000
N 0.500 0.000 0.000
Rb 0.500 0.500 0.500
```

## Properties
E_form (uncorrected), eV/atom: -0.231
ρ, g/cm³: 5.3



Record 10
Below is a crystal of RbCrN2O relaxed with PBEsol, with properties calculated at the meta-GGA SCAN level. Values from VASP.

Quantum ESPRESSO input file:
```
&SYSTEM
  ibrav = 0, nat = 5, ntyp = 4
/
ATOMIC_SPECIES
Rb 85.47 Rb.upf
O 16.00 O.upf
N 14.01 N.upf
Cr 52.00 Cr.upf
CELL_PARAMETERS angstrom
-2.173 -2.639 -2.554
1.368 -3.429 2.379
-3.523 0.393 2.592
ATOMIC_POSITIONS crystal
Rb 0.000 0.000 0.000
O 0.500 0.000 0.000
N 0.000 0.500 0.000
N 0.000 0.000 0.500
Cr 0.500 0.500 0.500
```

## Properties
E_form (uncorrected), eV/atom: 2.420
ρ, g/cm³: 3.7



Record 11
Below is a crystal of CrReN2O relaxed with PBEsol, with properties calculated at the meta-GGA SCAN level. Values from VASP.

Quantum ESPRESSO input file:
```
&SYSTEM
  ibrav = 0, nat = 5, ntyp = 4
/
ATOMIC_SPECIES
Re 186.21 Re.upf
Cr 52.00 Cr.upf
N 14.01 N.upf
O 16.00 O.upf
CELL_PARAMETERS angstrom
3.770 0.000 0.000
0.000 3.891 0.000
0.000 0.000 3.891
ATOMIC_POSITIONS crystal
Re 0.000 0.000 0.000
Cr 0.500 0.500 0.500
N 0.000 0.500 0.000
O 0.500 0.000 0.000
N 0.000 0.000 0.500
```

## Properties
E_form (uncorrected), eV/atom: -0.076
ρ, g/cm³: 8.2



Record 12
Below is a crystal of ScCrN2O relaxed with PBEsol, with properties calculated at the meta-GGA SCAN level. Values from VASP.

Quantum ESPRESSO input file:
```
&SYSTEM
  ibrav = 0, nat = 5, ntyp = 4
/
ATOMIC_SPECIES
Cr 52.00 Cr.upf
O 16.00 O.upf
Sc 44.96 Sc.upf
N 14.01 N.upf
CELL_PARAMETERS angstrom
3.913 0.000 0.000
0.000 4.078 0.000
0.000 0.000 4.078
ATOMIC_POSITIONS crystal
Cr 0.500 0.500 0.500
O 0.500 0.000 0.000
Sc 0.000 0.000 0.000
N 0.000 0.000 0.500
N 0.000 0.500 0.000
```

## Properties
E_form (uncorrected), eV/atom: -0.065
ρ, g/cm³: 3.6



Record 13
Below is a crystal of CrSeN2O relaxed with PBEsol, with properties calculated at the meta-GGA SCAN level. Values from VASP.

Quantum ESPRESSO input file:
```
&SYSTEM
  ibrav = 0, nat = 5, ntyp = 4
/
ATOMIC_SPECIES
O 16.00 O.upf
N 14.01 N.upf
Se 78.96 Se.upf
Cr 52.00 Cr.upf
CELL_PARAMETERS angstrom
3.465 0.000 0.000
0.000 3.465 0.000
0.000 0.000 5.069
ATOMIC_POSITIONS crystal
O 0.500 0.500 0.500
N 0.500 0.000 0.000
N 0.000 0.500 0.000
Se 0.000 0.000 0.500
Cr 0.000 0.000 0.000
```

## Properties
E_form (uncorrected), eV/atom: 0.680
ρ, g/cm³: 4.8



Total magnetic moment for the records above, in order: 0.00; 4.10; 0.00; 0.00; 3.74; 1.68; 0.00; 0.00; 1.00; 1.52; 4.10; 1.00; 0.00 μB/cell